[1]
First-principles (GGA-PBE) data for a relaxed structure of MnCrAs, as listed in Alexandria.

**D(E_F)**: 5.454 states/eV/cell
**Size of the total moment**: 0.24 μB/f.u.
**Formation enthalpy at 0 K**: 0.04 eV per atom
**Density**: 7.6 g/cm3
**Space-group type**: No. 2

Geometry as POSCAR:
```
MnCrAs
1.0
2.7963 0.0000 0.0000
1.2269 4.8623 0.0000
0.0267 2.3301 5.8550
Mn Cr As
2 2 2
Direct
0.1120 0.2404 0.0284
0.8880 0.7596 0.9716
0.4550 0.6112 0.6978
0.5450 0.3888 0.3022
0.1780 0.1579 0.6696
0.8220 0.8421 0.3304
```

---

[2]
First-principles (GGA-PBE) data for a relaxed structure of MnCr4As2, as listed in Alexandria.

**D(E_F)**: 7.312 states/eV/cell
**Size of the total moment**: 5.41 μB/f.u.
**Formation enthalpy at 0 K**: 0.64 eV per atom
**Density**: 6.1 g/cm3
**Space-group type**: No. 139

Geometry as POSCAR:
```
MnCr4As2
1.0
-2.0861 2.0861 6.4839
2.0861 -2.0861 6.4839
2.0861 2.0861 -6.4839
Mn Cr As
1 4 2
Direct
0.0000 0.0000 0.0000
0.0000 0.5000 0.5000
0.1796 0.1796 0.0000
0.5000 0.0000 0.5000
0.8204 0.8204 0.0000
0.3724 0.3724 0.0000
0.6276 0.6276 0.0000
```

---

[3]
First-principles (GGA-PBE) data for a relaxed structure of Mn3CrAs, as listed in Alexandria.

**D(E_F)**: 3.072 states/eV/cell
**Size of the total moment**: 6.75 μB/f.u.
**Formation enthalpy at 0 K**: 0.90 eV per atom
**Density**: 5.7 g/cm3
**Space-group type**: No. 221

Geometry as POSCAR:
```
Mn3CrAs
1.0
4.3927 0.0000 0.0000
0.0000 4.3927 0.0000
0.0000 0.0000 4.3927
Mn Cr As
3 1 1
Direct
0.0000 0.0000 0.5000
0.0000 0.5000 0.0000
0.5000 0.0000 0.0000
0.0000 0.0000 0.0000
0.5000 0.5000 0.5000
```

---

[4]
First-principles (GGA-PBE) data for a relaxed structure of Mn2CrAs, as listed in Alexandria.

**D(E_F)**: 2.319 states/eV/cell
**Size of the total moment**: 1.02 μB/f.u.
**Formation enthalpy at 0 K**: -0.04 eV per atom
**Density**: 8.1 g/cm3
**Space-group type**: No. 216

Geometry as POSCAR:
```
Mn2CrAs
1.0
0.0000 2.8934 2.8934
2.8934 0.0000 2.8934
2.8934 2.8934 0.0000
Mn Cr As
2 1 1
Direct
0.0000 0.0000 0.0000
0.2500 0.2500 0.2500
0.7500 0.7500 0.7500
0.5000 0.5000 0.5000
```

---

[5]
First-principles (GGA-PBE) data for a relaxed structure of Mn2CrAs, as listed in Alexandria.

**D(E_F)**: 3.256 states/eV/cell
**Size of the total moment**: 0.79 μB/f.u.
**Formation enthalpy at 0 K**: 0.05 eV per atom
**Density**: 7.9 g/cm3
**Space-group type**: No. 8

Geometry as POSCAR:
```
Mn2CrAs
1.0
4.1734 -1.4580 0.0000
4.1734 1.4580 0.0000
-1.1256 0.0000 4.0991
Mn Cr As
2 1 1
Direct
0.0000 0.0000 0.0000
0.2306 0.2306 0.6305
0.4944 0.4944 0.4903
0.7359 0.7359 0.1351
```

---

[6]
First-principles (GGA-PBE) data for a relaxed structure of Mn2CrAs, as listed in Alexandria.

**D(E_F)**: 3.498 states/eV/cell
**Size of the total moment**: 1.67 μB/f.u.
**Formation enthalpy at 0 K**: -0.05 eV per atom
**Density**: 7.8 g/cm3
**Space-group type**: No. 139

Geometry as POSCAR:
```
Mn2CrAs
1.0
-1.8398 1.8398 3.7085
1.8398 -1.8398 3.7085
1.8398 1.8398 -3.7085
Mn Cr As
2 1 1
Direct
0.2500 0.7500 0.5000
0.7500 0.2500 0.5000
0.0000 0.0000 0.0000
0.5000 0.5000 0.0000
```

---

[7]
First-principles (GGA-PBE) data for a relaxed structure of MnCr2As2, as listed in Alexandria.

**D(E_F)**: 7.532 states/eV/cell
**Size of the total moment**: 7.26 μB/f.u.
**Formation enthalpy at 0 K**: 0.06 eV per atom
**Density**: 7.1 g/cm3
**Space-group type**: No. 127

Geometry as POSCAR:
```
MnCr2As2
1.0
6.7495 0.0000 0.0000
0.0000 6.7495 0.0000
0.0000 0.0000 3.1499
Mn Cr As
2 4 4
Direct
0.0000 0.0000 0.0000
0.5000 0.5000 0.0000
0.1429 0.3571 0.5000
0.3571 0.8571 0.5000
0.6429 0.1429 0.5000
0.8571 0.6429 0.5000
0.1532 0.6532 0.0000
0.3468 0.1532 0.0000
0.6532 0.8468 0.0000
0.8468 0.3468 0.0000
```

---

[8]
First-principles (GGA-PBE) data for a relaxed structure of Mn2CrAs, as listed in Alexandria.

**D(E_F)**: 4.417 states/eV/cell
**Size of the total moment**: 4.51 μB/f.u.
**Formation enthalpy at 0 K**: 0.12 eV per atom
**Density**: 7.8 g/cm3
**Space-group type**: No. 25

Geometry as POSCAR:
```
Mn2CrAs
1.0
3.0960 0.0000 0.0000
0.0000 3.1141 0.0000
0.0000 0.0000 5.2425
Mn Cr As
2 1 1
Direct
0.0000 0.0000 0.0000
0.5000 0.5000 0.2504
0.5000 0.5000 0.7634
0.0000 0.0000 0.5008
```

---

[9]
First-principles (GGA-PBE) data for a relaxed structure of MnCrAs, as listed in Alexandria.

**D(E_F)**: 2.902 states/eV/cell
**Size of the total moment**: 0.00 μB/f.u.
**Formation enthalpy at 0 K**: 0.13 eV per atom
**Density**: 8.3 g/cm3
**Space-group type**: No. 107

Geometry as POSCAR:
```
MnCrAs
1.0
-1.4541 1.4541 4.3156
1.4541 -1.4541 4.3156
1.4541 1.4541 -4.3156
Mn Cr As
1 1 1
Direct
0.0000 0.0000 0.0000
0.6737 0.6737 0.0000
0.3406 0.3406 0.0000
```

---

[10]
First-principles (GGA-PBE) data for a relaxed structure of Mn2CrAs, as listed in Alexandria.

**D(E_F)**: 3.976 states/eV/cell
**Size of the total moment**: 2.55 μB/f.u.
**Formation enthalpy at 0 K**: -0.04 eV per atom
**Density**: 7.6 g/cm3
**Space-group type**: No. 123

Geometry as POSCAR:
```
Mn2CrAs
1.0
3.7012 0.0000 0.0000
0.0000 3.7012 0.0000
0.0000 0.0000 3.7744
Mn Cr As
2 1 1
Direct
0.0000 0.5000 0.0000
0.5000 0.0000 0.0000
0.0000 0.0000 0.5000
0.5000 0.5000 0.5000
```

---

[11]
First-principles (GGA-PBE) data for a relaxed structure of MnCrAs, as listed in Alexandria.

**D(E_F)**: 3.079 states/eV/cell
**Size of the total moment**: 0.42 μB/f.u.
**Formation enthalpy at 0 K**: 0.24 eV per atom
**Density**: 7.6 g/cm3
**Space-group type**: No. 156

Geometry as POSCAR:
```
MnCrAs
1.0
2.8148 0.0000 0.0000
-1.4074 2.4376 0.0000
0.0000 0.0000 5.8261
Mn Cr As
1 1 1
Direct
0.0000 0.0000 0.0000
0.3333 0.6667 0.7080
0.6667 0.3333 0.3534
```

---

[12]
First-principles (GGA-PBE) data for a relaxed structure of MnCrAs, as listed in Alexandria.

**D(E_F)**: 6.460 states/eV/cell
**Size of the total moment**: 4.28 μB/f.u.
**Formation enthalpy at 0 K**: -0.06 eV per atom
**Density**: 7.4 g/cm3
**Space-group type**: No. 129

Geometry as POSCAR:
```
MnCrAs
1.0
3.5753 0.0000 0.0000
0.0000 3.5753 0.0000
0.0000 0.0000 6.3818
Mn Cr As
2 2 2
Direct
0.2500 0.7500 0.0000
0.7500 0.2500 0.0000
0.2500 0.2500 0.3551
0.7500 0.7500 0.6449
0.2500 0.2500 0.7355
0.7500 0.7500 0.2645
```